Entry 1:
Below is TcC2Cl after structural relaxation, with properties calculated at the PBE-GGA level.

Calculated values
- Uncorrected formation energy: 5.37 eV/f.u.
- Crystal system: tetragonal

abc: 5.3148 5.3148 9.4643
angles: 90.00 90.00 90.00
With the nearest neighbours (Å) after each atom.
Space group I-42d (No. 122)
Asymmetric unit:
Tc 0.0000 0.0000 0.0000 [4 per cell]  4 C 1.90
C 0.1275 0.2500 0.1250 [8 per cell]  2 Tc 1.90
Cl 0.0000 0.0000 0.5000 [4 per cell]  4 C 2.66

=====

Entry 2:
Below is TcC2Cl after structural relaxation, with properties calculated at the PBE-GGA level.

Calculated values
- Uncorrected formation energy: 10.80 eV/f.u.
- Crystal system: cubic

abc: 5.5388 5.5388 5.5388
angles: 90.00 90.00 90.00
With the nearest neighbours (Å) after each atom.
Space group Fm-3m (No. 225)
Asymmetric unit:
Tc 0.0000 0.0000 0.0000 [4 per cell]  8 C 2.40
C 0.2500 0.2500 0.2500 [8 per cell]  4 Cl 2.40, 4 Tc 2.40
Cl 0.0000 0.0000 0.5000 [4 per cell]  8 C 2.40

=====

Entry 3:
Below is Te2CCl after structural relaxation, with properties calculated at the PBE-GGA level.

Calculated values
- Uncorrected formation energy: 3.16 eV/f.u.
- Crystal system: tetragonal

abc: 6.9329 6.9329 8.0227
angles: 90.00 90.00 90.00
With the nearest neighbours (Å) after each atom.
Space group I-42d (No. 122)
Asymmetric unit:
Te 0.1502 0.7500 0.1250 [8 per cell]  2 C 2.26
C 0.0000 0.0000 0.0000 [4 per cell]  4 Te 2.26
Cl 0.0000 0.0000 0.5000 [4 per cell]  4 Te 3.15

=====

The density results, record by record, are as follows: 3.91 6.16 5.21 g/cm3.